Density functional theory data (PBE) for a relaxed structure of Ac2Tl3BiTe6.

Values from the calculation:
E_form (uncorrected): -854 meV per atom
E_tot: -48.29 eV for the cell shown

abc: 8.2068 8.2068 8.5635
angles: 99.23 99.23 120.02
Fractional coordinates of all 12 atoms:
Ac (0.1659, 0.8341, 0.0000)
Ac (0.8341, 0.1659, 0.0000)
Tl (0.0000, 0.0000, 0.5000)
Tl (0.3290, 0.6710, 0.5000)
Tl (0.6710, 0.3290, 0.5000)
Bi (0.5000, 0.5000, 0.0000)
Te (0.1042, 0.4254, 0.7756)
Te (0.2563, 0.2563, 0.2294)
Te (0.4254, 0.1042, 0.7756)
Te (0.5746, 0.8958, 0.2244)
Te (0.7437, 0.7437, 0.7706)
Te (0.8958, 0.5746, 0.2244)